# 1
First-principles (PBE) data for Ac3InSe after structural relaxation, as listed in the Alexandria database.

Output
formation energy (no corrections) = -19.66 kcal/mol of atoms
V = 751.7 Å³/cell

Cell and atoms, written as CIF:
```
data_Ac3InSe
_chemical_formula_sum 'Ac12 In4 Se4'
_cell_length_a 10.052
_cell_length_b 4.325
_cell_length_c 17.289
_cell_angle_alpha 90.00
_cell_angle_beta 90.00
_cell_angle_gamma 90.00
_symmetry_space_group_name_H-M 'P n m a'
_symmetry_Int_Tables_number 62
loop_
_symmetry_equiv_pos_as_xyz
'x,y,z'
'-x,-y,-z'
'-x+1/2,-y,z+1/2'
'x+1/2,y,-z+1/2'
'x+1/2,-y+1/2,-z+1/2'
'-x+1/2,y+1/2,z+1/2'
'-x,y+1/2,-z'
'x,-y+1/2,z'
loop_
_atom_site_label
_atom_site_type_symbol
_atom_site_fract_x
_atom_site_fract_y
_atom_site_fract_z
Ac1 Ac 0.021 0.250 0.114
Ac2 Ac 0.155 0.750 0.305
Ac3 Ac 0.162 0.250 0.540
In1 In 0.136 0.750 0.701
Se1 Se 0.172 0.250 0.954
```

---

# 2
First-principles (PBE) data for Ac6InSe4 after structural relaxation, as listed in the Alexandria database.

Output
formation energy (no corrections) = -32.55 kcal/mol of atoms
V = 1525.9 Å³/cell

Cell and atoms, written as CIF:
```
data_Ac6InSe4
_chemical_formula_sum 'Ac24 In4 Se16'
_cell_length_a 4.490
_cell_length_b 14.806
_cell_length_c 22.952
_cell_angle_alpha 90.00
_cell_angle_beta 90.00
_cell_angle_gamma 90.00
_symmetry_space_group_name_H-M 'C m c m'
_symmetry_Int_Tables_number 63
_symmetry_space_group_name_Hall '-C 2c 2'
loop_
_atom_site_label
_atom_site_type_symbol
_atom_site_fract_x
_atom_site_fract_y
_atom_site_fract_z
Ac1 Ac 0.000 0.000 0.000
Ac2 Ac 0.000 0.163 0.250
Ac3 Ac 0.000 0.269 0.587
Ac4 Ac 0.000 0.453 0.162
In1 In 0.000 0.164 0.750
Se1 Se 0.000 0.092 0.122
Se2 Se 0.000 0.362 0.037
```

---

# 3
First-principles (PBE) data for AcIn2Se after structural relaxation, as listed in the Alexandria database.

Output
formation energy (no corrections) = -3.93 kcal/mol of atoms
V = 410.9 Å³/cell

Cell and atoms, written as CIF:
```
data_AcIn2Se
_chemical_formula_sum 'Ac3 In6 Se3'
_cell_length_a 3.8702
_cell_length_b 3.8702
_cell_length_c 31.6768
_cell_angle_alpha 90.00
_cell_angle_beta 90.00
_cell_angle_gamma 120.00
_symmetry_space_group_name_H-M 'R -3 m'
_symmetry_Int_Tables_number 166
_symmetry_space_group_name_Hall '-R 3 2"'
loop_
_atom_site_label
_atom_site_type_symbol
_atom_site_fract_x
_atom_site_fract_y
_atom_site_fract_z
Ac1 Ac 0.0000 0.0000 0.0000
In1 In 0.0000 0.0000 0.1073
Se1 Se 0.0000 0.0000 0.5000
```

---

# 4
First-principles (PBE) data for AcInSe2 after structural relaxation, as listed in the Alexandria database.

Output
formation energy (no corrections) = -27.40 kcal/mol of atoms
V = 116.4 Å³/cell

Cell and atoms, written as CIF:
```
data_AcInSe2
_chemical_formula_sum 'Ac1 In1 Se2'
_cell_length_a 3.898
_cell_length_b 3.898
_cell_length_c 7.662
_cell_angle_alpha 90.00
_cell_angle_beta 90.00
_cell_angle_gamma 90.00
_symmetry_space_group_name_H-M 'P 4/m m m'
_symmetry_Int_Tables_number 123
_symmetry_space_group_name_Hall '-P 4 2'
loop_
_atom_site_label
_atom_site_type_symbol
_atom_site_fract_x
_atom_site_fract_y
_atom_site_fract_z
Ac1 Ac 0.000 0.000 0.000
In1 In 0.000 0.000 0.500
Se1 Se 0.500 0.500 0.229
```

---

# 5
First-principles (PBE) data for AcIn2Se4 after structural relaxation, as listed in the Alexandria database.

Output
formation energy (no corrections) = -18.99 kcal/mol of atoms
V = 261.5 Å³/cell

Cell and atoms, written as CIF:
```
data_AcIn2Se4
_chemical_formula_sum 'Ac1 In2 Se4'
_cell_length_a 6.119
_cell_length_b 6.119
_cell_length_c 6.983
_cell_angle_alpha 90.00
_cell_angle_beta 90.00
_cell_angle_gamma 90.00
_symmetry_space_group_name_H-M 'P -4 2 m'
_symmetry_Int_Tables_number 111
loop_
_symmetry_equiv_pos_as_xyz
'x,y,z'
'y,-x,-z'
'-x,-y,z'
'-y,x,-z'
'x,-y,-z'
'y,x,z'
'-x,y,-z'
'-y,-x,z'
loop_
_atom_site_label
_atom_site_type_symbol
_atom_site_fract_x
_atom_site_fract_y
_atom_site_fract_z
Ac1 Ac 0.000 0.000 0.000
In1 In 0.000 0.500 0.500
Se1 Se 0.272 0.272 0.269
```

---

# 6
First-principles (PBE) data for AcInSe2 after structural relaxation, as listed in the Alexandria database.

Output
formation energy (no corrections) = -28.66 kcal/mol of atoms
V = 405.3 Å³/cell

Cell and atoms, written as CIF:
```
data_AcInSe2
_chemical_formula_sum 'Ac3 In3 Se6'
_cell_length_a 4.4147
_cell_length_b 4.4147
_cell_length_c 24.0117
_cell_angle_alpha 90.00
_cell_angle_beta 90.00
_cell_angle_gamma 120.00
_symmetry_space_group_name_H-M 'R 3 m'
_symmetry_Int_Tables_number 160
_symmetry_space_group_name_Hall 'R 3 -2"'
loop_
_atom_site_label
_atom_site_type_symbol
_atom_site_fract_x
_atom_site_fract_y
_atom_site_fract_z
Ac1 Ac 0.0000 0.0000 0.0000
In1 In 0.0000 0.0000 0.8314
Se1 Se 0.0000 0.0000 0.2574
Se2 Se 0.0000 0.0000 0.4112
```

---

# 7
First-principles (PBE) data for AcInSe2 after structural relaxation, as listed in the Alexandria database.

Output
formation energy (no corrections) = -26.80 kcal/mol of atoms
V = 507.4 Å³/cell

Cell and atoms, written as CIF:
```
data_AcInSe2
_chemical_formula_sum 'Ac3 In3 Se6'
_cell_length_a 4.6197
_cell_length_b 4.6197
_cell_length_c 27.4518
_cell_angle_alpha 90.00
_cell_angle_beta 90.00
_cell_angle_gamma 120.00
_symmetry_space_group_name_H-M 'P 32 2 1'
_symmetry_Int_Tables_number 154
loop_
_symmetry_equiv_pos_as_xyz
'x,y,z'
'-y,x-y,z+2/3'
'-x+y,-x,z+1/3'
'y,x,-z'
'x-y,-y,-z+1/3'
'-x,-x+y,-z+2/3'
loop_
_atom_site_label
_atom_site_type_symbol
_atom_site_fract_x
_atom_site_fract_y
_atom_site_fract_z
Ac1 Ac 0.0000 0.3290 0.3333
In1 In 0.0000 0.3357 0.8333
Se1 Se 0.0044 0.3377 0.9410
```

---

# 8
First-principles (PBE) data for Ac2InSe after structural relaxation, as listed in the Alexandria database.

Output
formation energy (no corrections) = -22.83 kcal/mol of atoms
ΔE to the lowest computed polymorph = 13.62 kJ/mol of atoms
V = 424.2 Å³/cell

Cell and atoms, written as CIF:
```
data_Ac2InSe
_chemical_formula_sum 'Ac6 In3 Se3'
_cell_length_a 4.2321
_cell_length_b 4.2321
_cell_length_c 27.3453
_cell_angle_alpha 90.00
_cell_angle_beta 90.00
_cell_angle_gamma 120.00
_symmetry_space_group_name_H-M 'R 3 m'
_symmetry_Int_Tables_number 160
_symmetry_space_group_name_Hall 'R 3 -2"'
loop_
_atom_site_label
_atom_site_type_symbol
_atom_site_fract_x
_atom_site_fract_y
_atom_site_fract_z
Ac1 Ac 0.0000 0.0000 0.0000
Ac2 Ac 0.0000 0.0000 0.1560
In1 In 0.0000 0.0000 0.5781
Se1 Se 0.0000 0.0000 0.4109
```

---

# 9
First-principles (PBE) data for AcIn6Se8 after structural relaxation, as listed in the Alexandria database.

Output
formation energy (no corrections) = -12.69 kcal/mol of atoms
V = 1302.0 Å³/cell

Cell and atoms, written as CIF:
```
data_AcIn6Se8
_chemical_formula_sum 'Ac3 In18 Se24'
_cell_length_a 11.1293
_cell_length_b 11.1293
_cell_length_c 12.1378
_cell_angle_alpha 90.00
_cell_angle_beta 90.00
_cell_angle_gamma 120.00
_symmetry_space_group_name_H-M 'R -3'
_symmetry_Int_Tables_number 148
_symmetry_space_group_name_Hall '-R 3'
loop_
_atom_site_label
_atom_site_type_symbol
_atom_site_fract_x
_atom_site_fract_y
_atom_site_fract_z
Ac1 Ac 0.0000 0.0000 0.0000
In1 In 0.0607 0.2235 0.5990
Se1 Se 0.0000 0.0000 0.2655
Se2 Se 0.0043 0.7261 0.9033
```

---

# 10
First-principles (PBE) data for Ac4InSe5 after structural relaxation, as listed in the Alexandria database.

Output
formation energy (no corrections) = -38.00 kcal/mol of atoms
V = 977.4 Å³/cell

Cell and atoms, written as CIF:
```
data_Ac4InSe5
_chemical_formula_sum 'Ac12 In3 Se15'
_cell_length_a 4.4909
_cell_length_b 4.4909
_cell_length_c 55.9622
_cell_angle_alpha 90.00
_cell_angle_beta 90.00
_cell_angle_gamma 120.00
_symmetry_space_group_name_H-M 'R -3 m'
_symmetry_Int_Tables_number 166
_symmetry_space_group_name_Hall '-R 3 2"'
loop_
_atom_site_label
_atom_site_type_symbol
_atom_site_fract_x
_atom_site_fract_y
_atom_site_fract_z
Ac1 Ac 0.0000 0.0000 0.0975
Ac2 Ac 0.0000 0.0000 0.3012
In1 In 0.0000 0.0000 0.5000
Se1 Se 0.0000 0.0000 0.0000
Se2 Se 0.0000 0.0000 0.2050
Se3 Se 0.0000 0.0000 0.3983
```

---

# 11
First-principles (PBE) data for Ac2InSe3 after structural relaxation, as listed in the Alexandria database.

Output
formation energy (no corrections) = -31.69 kcal/mol of atoms
V = 369.4 Å³/cell

Cell and atoms, written as CIF:
```
data_Ac2InSe3
_chemical_formula_sum 'Ac4 In2 Se6'
_cell_length_a 4.013
_cell_length_b 5.314
_cell_length_c 17.322
_cell_angle_alpha 90.00
_cell_angle_beta 90.00
_cell_angle_gamma 90.00
_symmetry_space_group_name_H-M 'I m m m'
_symmetry_Int_Tables_number 71
_symmetry_space_group_name_Hall '-I 2 2'
loop_
_atom_site_label
_atom_site_type_symbol
_atom_site_fract_x
_atom_site_fract_y
_atom_site_fract_z
Ac1 Ac 0.000 0.000 0.145
In1 In 0.000 0.000 0.500
Se1 Se 0.000 0.000 0.323
Se2 Se 0.000 0.500 0.500
```

---

# 12
First-principles (PBE) data for AcIn2Se3 after structural relaxation, as listed in the Alexandria database.

Output
formation energy (no corrections) = -21.82 kcal/mol of atoms
V = 357.2 Å³/cell

Cell and atoms, written as CIF:
```
data_AcIn2Se3
_chemical_formula_sum 'Ac2 In4 Se6'
_cell_length_a 6.729
_cell_length_b 4.530
_cell_length_c 11.834
_cell_angle_alpha 90.00
_cell_angle_beta 98.07
_cell_angle_gamma 90.00
_symmetry_space_group_name_H-M 'P 1 21/m 1'
_symmetry_Int_Tables_number 11
loop_
_symmetry_equiv_pos_as_xyz
'x,y,z'
'-x,-y,-z'
'-x,y+1/2,-z'
'x,-y+1/2,z'
loop_
_atom_site_label
_atom_site_type_symbol
_atom_site_fract_x
_atom_site_fract_y
_atom_site_fract_z
Ac1 Ac 0.003 0.250 0.328
In1 In 0.243 0.250 0.996
In2 In 0.455 0.250 0.691
Se1 Se 0.138 0.750 0.161
Se2 Se 0.241 0.750 0.471
Se3 Se 0.363 0.750 0.862
```